Material: CoCuNiB2
Method: DFT, PBE
State: optimized geometry

Structure (POSCAR):
```
CoCuNiB2
1.0
3.6513 0.0000 0.0000
0.0000 3.6513 0.0000
0.0000 0.0000 4.4289
Ni B Cu Co
1 2 1 1
direct
0.5000 0.5000 0.5000
0.0000 0.5000 0.0000
0.5000 0.0000 0.0000
0.0000 0.0000 0.5000
0.0000 0.0000 0.0000
```

Values from the calculation:
The formation enthalpy at 0 K is 0.94 eV per atom. For the density of states at the Fermi level, the calculation gives 3.613 states/eV/f.u. Its space group is P4/mmm. For the magnetization, the calculation gives 0.6 μB/f.u.